{
  "formula": "TePS2",
  "functional": "GGA-PBE",
  "state": "optimized geometry",
  "lattice": [[-3.429, 3.429, 3.860], [3.429, -3.429, 3.860], [3.429, 3.429, -3.860]],
  "species": ["Te", "Te", "P", "P", "S", "S", "S", "S"],
  "frac_coords": [[0.000, 0.000, 0.000], [0.750, 0.250, 0.500], [0.250, 0.750, 0.500], [0.500, 0.500, 0.000], [0.172, 0.625, 0.047], [0.375, 0.422, 0.547], [0.578, 0.125, 0.953], [0.875, 0.828, 0.453]],
  "crystal_system": "tetragonal",
  "de_polymorph_mev_per_atom": 238,
  "magnetic_moment_mub_per_fu": 0.000
}